## LiAcTh (PBE)

Data for a geometry-optimized LiAcTh structure.

For the excess energy over the best structure of this formula in the dataset, the calculation gives 0.000 eV per atom. As for the crystal system: cubic.

The space group is F-43m (No. 216) and the conventional cell measures 7.373, 7.373 and 7.373 Å, with angles of 90.00, 90.00 and 90.00 degrees. The distinct sites, in fractional coordinates, are Li at (0.000, 0.000, 0.000), Ac at (0.250, 0.250, 0.750) and Th at (0.250, 0.250, 0.250).